# SnAs3S

SnAs3S after structural relaxation (PBE, the Alexandria database).

## Properties
- E_form (uncorrected) (eV/atom) = 0.5488
- energy above the lowest structure with this stoichiometry (meV per atom) = 0
- uncorrected energy (eV per atom) = -3.867

a b c (Å): 4.8653 4.8653 4.8653
angles (deg): 90.00 90.00 90.00
Last column: nearest neighbours and their distance in Å.
Space group Pm-3m (No. 221)
One atom of each set of equivalent atoms:
1 Sn 0.0000 0.0000 0.0000 [1 per cell]  12 As 3.44
2 As 0.0000 0.5000 0.5000 [3 per cell]  2 S 2.43
3 S 0.5000 0.5000 0.5000 [1 per cell]  6 As 2.43

=====

# In3Ag5Hg12

In3Ag5Hg12 after structural relaxation (PBE, the Alexandria database).

## Properties
- calculated formation energy (eV/atom) = 0.205
- uncorrected energy (eV per atom) = -1.100

a b c (Å): 16.9195 16.9195 16.9195
angles (deg): 90.00 90.00 90.00
Last column: nearest neighbours and their distance in Å.
Space group Ia-3d (No. 230)
One atom of each set of equivalent atoms:
1 In 0.0000 0.2500 0.1250 [24 per cell]  8 Hg 2.98-3.28
2 Ag 0.0000 0.0000 0.0000 [16 per cell]  6 Hg 2.86
3 Ag 0.0000 0.2500 0.3750 [24 per cell]  4 Hg 2.77
4 Hg 0.0213 0.0770 0.6492 [96 per cell]  2 Ag 2.77-2.86, 1 In 2.98

=====

# LaAs2Os

LaAs2Os after structural relaxation (PBE, the Alexandria database).

## Properties
- calculated formation energy (eV/atom) = -0.115
- energy above the lowest structure with this stoichiometry (meV per atom) = 547
- uncorrected energy (eV per atom) = -6.480

a b c (Å): 3.2226 3.8167 6.6211
angles (deg): 90.00 90.00 90.00
Last column: nearest neighbours and their distance in Å.
Space group Pmm2 (No. 25)
One atom of each set of equivalent atoms:
1 La 0.0000 0.0000 0.0000 [1 per cell]  5 As 3.08-3.14, 2 La 3.22, 4 Os 3.37
2 As 0.0000 0.0000 0.4741 [1 per cell]  4 Os 2.64
3 As 0.5000 0.5000 0.7278 [1 per cell]  1 Os 2.55
4 Os 0.5000 0.5000 0.3426 [1 per cell]  5 As 2.55-2.64

=====

# DyTmBeZn

DyTmBeZn after structural relaxation (PBE, the Alexandria database).

## Properties
- calculated formation energy (eV/atom) = -0.118
- uncorrected energy (eV per atom) = -3.637

a b c (Å): 6.9415 6.9415 6.9415
angles (deg): 90.00 90.00 90.00
Last column: nearest neighbours and their distance in Å.
Space group F-43m (No. 216)
One atom of each set of equivalent atoms:
1 Dy 0.0000 0.0000 0.0000 [4 per cell]  4 Be 3.01, 4 Zn 3.01
2 Tm 0.0000 0.0000 0.5000 [4 per cell]  4 Be 3.01, 4 Zn 3.01
3 Be 0.2500 0.2500 0.7500 [4 per cell]  4 Dy 3.01, 4 Tm 3.01
4 Zn 0.2500 0.2500 0.2500 [4 per cell]  4 Dy 3.01, 4 Tm 3.01

=====

# CaBrCl

CaBrCl after structural relaxation (PBE, the Alexandria database).

## Properties
- E_form (uncorrected) (eV/atom) = -2.1274
- uncorrected energy (eV per atom) = -3.968

a b c (Å): 6.9728 6.9728 6.9728
angles (deg): 90.00 90.00 90.00
Last column: nearest neighbours and their distance in Å.
Space group F-43m (No. 216)
One atom of each set of equivalent atoms:
1 Ca 0.0000 0.0000 0.0000 [4 per cell]  4 Br 3.02, 4 Cl 3.02
2 Br 0.2500 0.2500 0.2500 [4 per cell]  4 Ca 3.02
3 Cl 0.2500 0.2500 0.7500 [4 per cell]  4 Ca 3.02

=====

# CeCdIrPt

CeCdIrPt after structural relaxation (PBE, the Alexandria database).

## Properties
- calculated formation energy (eV/atom) = -0.508
- uncorrected energy (eV per atom) = -5.945

a b c (Å): 6.8175 6.8175 6.8175
angles (deg): 90.00 90.00 90.00
Last column: nearest neighbours and their distance in Å.
Space group F-43m (No. 216)
One atom of each set of equivalent atoms:
1 Ce 0.0000 0.0000 0.0000 [4 per cell]  4 Pt 2.95, 4 Ir 2.95
2 Cd 0.0000 0.0000 0.5000 [4 per cell]  4 Ir 2.95, 4 Pt 2.95
3 Ir 0.2500 0.2500 0.7500 [4 per cell]  4 Cd 2.95, 4 Ce 2.95
4 Pt 0.2500 0.2500 0.2500 [4 per cell]  4 Cd 2.95, 4 Ce 2.95

=====

# NaPmNdGa

NaPmNdGa after structural relaxation (PBE, the Alexandria database).

## Properties
- calculated formation energy (eV/atom) = -0.145
- uncorrected energy (eV per atom) = -3.611

a b c (Å): 7.5897 7.5897 7.5897
angles (deg): 90.00 90.00 90.00
Last column: nearest neighbours and their distance in Å.
Space group F-43m (No. 216)
One atom of each set of equivalent atoms:
1 Na 0.0000 0.0000 0.0000 [4 per cell]  4 Nd 3.29, 4 Pm 3.29
2 Pm 0.2500 0.2500 0.7500 [4 per cell]  4 Na 3.29, 4 Ga 3.29
3 Nd 0.2500 0.2500 0.2500 [4 per cell]  4 Na 3.29, 4 Ga 3.29
4 Ga 0.0000 0.0000 0.5000 [4 per cell]  4 Nd 3.29, 4 Pm 3.29

=====

# La3Sm2ThSb6

La3Sm2ThSb6 after structural relaxation (PBE, the Alexandria database).

## Properties
- E_form (uncorrected) (eV/atom) = -1.2004
- uncorrected energy (eV per atom) = -5.898

a b c (Å): 7.8825 13.6433 7.9006
angles (deg): 90.00 109.42 90.00
Last column: nearest neighbours and their distance in Å.
Space group C2/m (No. 12)
One atom of each set of equivalent atoms:
1 La 0.0000 0.0000 0.0000 [2 per cell]  6 Sb 3.25-3.26
2 La 0.0000 0.3332 0.0000 [4 per cell]  6 Sb 3.25
3 Sm 0.0000 0.1665 0.5000 [4 per cell]  6 Sb 3.18-3.19
4 Th 0.0000 0.5000 0.5000 [2 per cell]  6 Sb 3.19
5 Sb 0.2473 0.3334 0.7424 [8 per cell]  1 Th 3.19, 2 Sm 3.19, 3 La 3.25
6 Sb 0.2476 0.0000 0.7421 [4 per cell]  2 Sm 3.18, 1 Th 3.19, 3 La 3.25-3.26

=====

# Ca5Al2Hg

Ca5Al2Hg after structural relaxation (PBE, the Alexandria database).

## Properties
- calculated formation energy (eV/atom) = -0.266
- uncorrected energy (eV per atom) = -2.491

a b c (Å): 8.0637 8.0637 15.3016
angles (deg): 90.00 90.00 90.00
Last column: nearest neighbours and their distance in Å.
Space group I4/mcm (No. 140)
One atom of each set of equivalent atoms:
1 Ca 0.0000 0.0000 0.0000 [4 per cell]  4 Al 3.24
2 Ca 0.1715 0.3285 0.1443 [16 per cell]  3 Al 3.23-3.29, 2 Hg 3.40
3 Al 0.1152 0.3848 0.5000 [8 per cell]  1 Al 2.63
4 Hg 0.0000 0.0000 0.2500 [4 per cell]  8 Ca 3.40

=====

# TcCl3

TcCl3 after structural relaxation (PBE, the Alexandria database).

## Properties
- E_form (uncorrected) (eV/atom) = 0.2569
- energy above the lowest structure with this stoichiometry (meV per atom) = 969
- uncorrected energy (eV per atom) = -3.720

a b c (Å): 3.0267 3.0267 8.7132
angles (deg): 90.00 90.00 90.00
Last column: nearest neighbours and their distance in Å.
Space group P4/mmm (No. 123)
One atom of each set of equivalent atoms:
1 Tc 0.0000 0.0000 0.0000 [1 per cell]  8 Cl 2.58
2 Cl 0.0000 0.0000 0.5000 [1 per cell]  4 Cl 3.03
3 Cl 0.5000 0.5000 0.1662 [2 per cell]  4 Tc 2.58

=====

# Ba2InAs3Pt4

Ba2InAs3Pt4 after structural relaxation (PBE, the Alexandria database).

## Properties
- calculated formation energy (eV/atom) = -0.716
- uncorrected energy (eV per atom) = -5.185

a b c (Å): 4.6079 4.6079 10.5098
angles (deg): 90.00 90.00 90.00
Last column: nearest neighbours and their distance in Å.
Space group P-4m2 (No. 115)
One atom of each set of equivalent atoms:
1 Ba 0.0000 0.5000 0.2432 [2 per cell]  8 Pt 3.44-3.50, 7 As 3.51-3.81, 2 In 3.55
2 In 0.0000 0.0000 0.5000 [1 per cell]  4 Pt 2.71
3 As 0.0000 0.5000 0.8807 [2 per cell]  5 Pt 2.58-2.62
4 As 0.5000 0.5000 0.5000 [1 per cell]  4 Pt 2.71
5 Pt 0.0000 0.0000 0.0000 [1 per cell]  4 As 2.62
6 Pt 0.0000 0.5000 0.6355 [2 per cell]  3 As 2.58-2.71, 2 In 2.71
7 Pt 0.5000 0.5000 0.0000 [1 per cell]  4 As 2.62

=====

# BTe2AsN

BTe2AsN after structural relaxation (PBE, the Alexandria database).

## Properties
- E_form (uncorrected) (eV/atom) = 1.5796
- energy above the lowest structure with this stoichiometry (meV per atom) = 1238
- uncorrected energy (eV per atom) = -3.608

a b c (Å): 5.6493 5.6493 3.5670
angles (deg): 90.00 90.00 90.00
Last column: nearest neighbours and their distance in Å.
Space group P4/mmm (No. 123)
One atom of each set of equivalent atoms:
1 B 0.0000 0.0000 0.0000 [1 per cell]  8 Te 3.34, 2 B 3.57
2 Te 0.0000 0.5000 0.5000 [2 per cell]  2 As 2.82
3 As 0.5000 0.5000 0.5000 [1 per cell]  2 N 1.78
4 N 0.5000 0.5000 0.0000 [1 per cell]  2 As 1.78

=====

# CsBa2Ce3S8

CsBa2Ce3S8 after structural relaxation (PBE, the Alexandria database).

## Properties
- E_form (uncorrected) (eV/atom) = -1.8303
- uncorrected energy (eV per atom) = -5.796

a b c (Å): 8.5886 8.5886 22.5965
angles (deg): 90.00 90.00 120.00
Last column: nearest neighbours and their distance in Å.
Space group R3m (No. 160, hexagonal axes)
One atom of each set of equivalent atoms:
1 Cs 0.0000 0.0000 0.0000 [3 per cell]  4 S 3.21-3.25
2 Ba 0.0000 0.0000 0.3678 [3 per cell]  6 S 3.14-3.16
3 Ba 0.0000 0.0000 0.7465 [3 per cell]  4 S 3.02-3.27
4 Ce 0.0029 0.5014 0.8696 [9 per cell]  6 S 2.72-2.91
5 S 0.0000 0.0000 0.1438 [3 per cell]  3 Ce 2.80
6 S 0.0000 0.0000 0.6018 [3 per cell]  3 Ce 2.91
7 S 0.0373 0.5186 0.1348 [9 per cell]  2 Ce 2.82, 2 Ba 3.02-3.16
8 S 0.1899 0.3798 0.9327 [9 per cell]  2 Ce 2.72

=====

# Ga2RePd

Ga2RePd after structural relaxation (PBE, the Alexandria database).

## Properties
- calculated formation energy (eV/atom) = -0.089
- energy above the lowest structure with this stoichiometry (meV per atom) = 94
- uncorrected energy (eV per atom) = -6.013

a b c (Å): 6.1702 6.1702 6.1702
angles (deg): 90.00 90.00 90.00
Last column: nearest neighbours and their distance in Å.
Space group Fm-3m (No. 225)
One atom of each set of equivalent atoms:
1 Ga 0.2500 0.2500 0.2500 [8 per cell]  4 Re 2.67, 4 Pd 2.67
2 Re 0.0000 0.0000 0.0000 [4 per cell]  8 Ga 2.67
3 Pd 0.0000 0.0000 0.5000 [4 per cell]  8 Ga 2.67

=====

# ZnCuP2

ZnCuP2 after structural relaxation (PBE, the Alexandria database).

## Properties
- calculated formation energy (eV/atom) = 0.243
- uncorrected energy (eV per atom) = -3.804

a b c (Å): 3.7797 3.9782 9.7603
angles (deg): 90.00 90.00 90.00
Last column: nearest neighbours and their distance in Å.
Space group Immm (No. 71)
One atom of each set of equivalent atoms:
1 Zn 0.0000 0.0000 0.0000 [2 per cell]  4 P 2.41
2 Cu 0.0000 0.0000 0.5000 [2 per cell]  4 P 2.33
3 P 0.0000 0.5000 0.1398 [4 per cell]  2 Cu 2.33, 2 Zn 2.41

=====

# BaLi2P

BaLi2P after structural relaxation (PBE, the Alexandria database).

## Properties
- calculated formation energy (eV/atom) = -0.576
- uncorrected energy (eV per atom) = -3.366

a b c (Å): 4.2054 4.2363 6.7246
angles (deg): 90.00 107.68 90.00
Last column: nearest neighbours and their distance in Å.
Space group Pm (No. 6)
One atom of each set of equivalent atoms:
1 Ba 0.0000 0.0000 0.0000 [1 per cell]  4 P 3.30, 4 Li 3.39-3.52
2 Li 0.2990 0.0000 0.5840 [1 per cell]  2 P 2.46
3 Li 0.7870 0.5000 0.5615 [1 per cell]  2 P 2.52
4 P 0.3933 0.5000 0.7793 [1 per cell]  4 Li 2.46-2.52

=====

# BaMgBeN2

BaMgBeN2 after structural relaxation (PBE, the Alexandria database).

## Properties
- E_form (uncorrected) (eV/atom) = -0.6794
- uncorrected energy (eV per atom) = -5.458

a b c (Å): 5.9788 4.5311 6.0203
angles (deg): 90.00 103.79 90.00
Last column: nearest neighbours and their distance in Å.
Space group P2/c (No. 13)
One atom of each set of equivalent atoms:
1 Ba 0.0000 0.2209 0.2500 [2 per cell]  6 N 2.85-3.14, 2 Be 3.17
2 Mg 0.5000 0.4820 0.7500 [2 per cell]  4 N 2.16-2.19
3 Be 0.5000 0.0000 0.0000 [2 per cell]  2 N 1.55
4 N 0.3155 0.2482 0.9627 [4 per cell]  1 Be 1.55

=====

# NbIrCI

NbIrCI after structural relaxation (PBE, the Alexandria database).

## Properties
- E_form (uncorrected) (eV/atom) = 0.2737
- energy above the lowest structure with this stoichiometry (meV per atom) = 58
- uncorrected energy (eV per atom) = -7.152

a b c (Å): 3.5386 3.8318 6.7818
angles (deg): 90.00 90.00 90.00
Last column: nearest neighbours and their distance in Å.
Space group Pmm2 (No. 25)
One atom of each set of equivalent atoms:
1 Nb 0.0000 0.0000 0.0000 [1 per cell]  2 C 2.17
2 Ir 0.5000 0.5000 0.8366 [1 per cell]  2 C 1.92
3 C 0.5000 0.0000 0.8143 [1 per cell]  2 Ir 1.92
4 I 0.0000 0.5000 0.3199 [1 per cell]  2 Nb 2.89

=====

# Ce2YErAs4

Ce2YErAs4 after structural relaxation (PBE, the Alexandria database).

## Properties
- calculated formation energy (eV/atom) = -1.482
- uncorrected energy (eV per atom) = -6.669

a b c (Å): 7.1927 4.1632 7.2128
angles (deg): 90.00 109.52 90.00
Last column: nearest neighbours and their distance in Å.
Space group P2/m (No. 10)
One atom of each set of equivalent atoms:
1 Ce 0.0000 0.0000 0.0000 [1 per cell]  6 As 2.96
2 Ce 0.0000 0.5000 0.5000 [1 per cell]  6 As 2.97
3 Y 0.5000 0.0000 0.5000 [1 per cell]  6 As 2.93
4 Er 0.5000 0.5000 0.0000 [1 per cell]  6 As 2.91
5 As 0.2547 0.5000 0.2501 [2 per cell]  1 Er 2.91, 2 Y 2.93, 3 Ce 2.96-2.97
6 As 0.2558 0.0000 0.7534 [2 per cell]  2 Er 2.91, 1 Y 2.93, 3 Ce 2.96-2.97

=====

# TlP2RuO

TlP2RuO after structural relaxation (PBE, the Alexandria database).

## Properties
- E_form (uncorrected) (eV/atom) = 1.5331
- energy above the lowest structure with this stoichiometry (meV per atom) = 1432
- uncorrected energy (eV per atom) = -3.951

a b c (Å): 5.1119 5.1119 4.0208
angles (deg): 90.00 90.00 90.00
Last column: nearest neighbours and their distance in Å.
Space group P4/mmm (No. 123)
One atom of each set of equivalent atoms:
1 Tl 0.0000 0.0000 0.0000 [1 per cell]  2 O 2.01
2 P 0.0000 0.5000 0.0000 [2 per cell]  2 Tl 2.56
3 Ru 0.5000 0.5000 0.5000 [1 per cell]  8 P 3.25, 4 O 3.61
4 O 0.0000 0.0000 0.5000 [1 per cell]  2 Tl 2.01

=====

# V2CuIr

V2CuIr after structural relaxation (PBE, the Alexandria database).

## Properties
- calculated formation energy (eV/atom) = 0.309
- uncorrected energy (eV per atom) = -7.489

a b c (Å): 6.8337 6.8337 5.0702
angles (deg): 90.00 90.00 90.00
Last column: nearest neighbours and their distance in Å.
Space group I-42d (No. 122)
One atom of each set of equivalent atoms:
1 V 0.2308 0.7500 0.1250 [8 per cell]  2 Ir 2.41, 2 V 2.55, 2 Cu 2.59
2 Cu 0.0000 0.0000 0.5000 [4 per cell]  2 Ir 2.54, 4 V 2.59
3 Ir 0.0000 0.0000 0.0000 [4 per cell]  4 V 2.41, 2 Cu 2.54

=====

# Nd6CoSn

Nd6CoSn after structural relaxation (PBE, the Alexandria database).

## Properties
- calculated formation energy (eV/atom) = -0.113
- uncorrected energy (eV per atom) = -5.078

a b c (Å): 8.0297 10.1930 6.4549
angles (deg): 90.00 105.01 90.00
Last column: nearest neighbours and their distance in Å.
Space group C2/m (No. 12)
One atom of each set of equivalent atoms:
1 Nd 0.1154 0.1904 0.2844 [8 per cell]  1 Co 2.67
2 Nd 0.2154 0.5000 0.1195 [4 per cell]  1 Co 2.59
3 Co 0.0000 0.0000 0.0000 [2 per cell]  6 Nd 2.59-2.67
4 Sn 0.0000 0.5000 0.5000 [2 per cell]  10 Nd 3.35-3.66

=====

# Sm2ScSb

Sm2ScSb after structural relaxation (PBE, the Alexandria database).

## Properties
- E_form (uncorrected) (eV/atom) = -0.4915
- uncorrected energy (eV per atom) = -5.465

a b c (Å): 4.7379 4.7379 4.7808
angles (deg): 90.00 90.00 90.00
Last column: nearest neighbours and their distance in Å.
Space group P4/mmm (No. 123)
One atom of each set of equivalent atoms:
1 Sm 0.0000 0.5000 0.0000 [2 per cell]  4 Sm 3.35, 4 Sb 3.37, 4 Sc 3.37
2 Sc 0.0000 0.0000 0.5000 [1 per cell]  4 Sb 3.35, 8 Sm 3.37
3 Sb 0.5000 0.5000 0.5000 [1 per cell]  4 Sc 3.35, 8 Sm 3.37